The following is a GGA-PBE calculation of crystalline SiTcMo2Cl at its relaxed geometry, from the Alexandria database.

Properties
raw total energy = -6.343 eV/atom
DOS(E_F) = 0.830 states/eV/atom
formation energy without anion corrections = 1.5165 eV/atom

Cell lengths 4.8086, 4.4573, 4.8086 Å; angles 90.00, 90.00, 90.00 degrees
With the nearest neighbours (Å) after each atom.
Element x y z (fractional)
Si1 0.5000 0.5000 0.5000  8 Mo 3.28, 4 Cl 3.40
Mo1 0.5000 0.0000 0.0000  2 Tc 2.40
Mo2 0.0000 0.0000 0.5000  2 Tc 2.40
Cl1 0.0000 0.5000 0.0000  2 Tc 2.23
Tc1 0.0000 0.0000 0.0000  2 Cl 2.23, 4 Mo 2.40


The following is a GGA-PBE calculation of crystalline Zn2OsPb at its relaxed geometry, from the Alexandria database.

Properties
formation energy = 43 kJ/mol of atoms
raw total energy = -3.927 eV/atom
DOS(E_F) = 0.470 states/eV/atom

Cell lengths 4.1804, 3.3250, 5.4928 Å; angles 72.64, 90.00, 90.00 degrees
With the nearest neighbours (Å) after each atom.
Element x y z (fractional)
Zn1 0.5000 0.4537 0.2184  2 Os 2.55, 1 Pb 2.72, 4 Zn 2.76
Zn2 0.0000 0.0179 0.0853  2 Os 2.72, 4 Zn 2.76
Pb1 0.5000 0.7145 0.7004  3 Zn 2.72-3.03, 4 Os 2.88
Os1 0.0000 0.3139 0.4959  4 Zn 2.55-2.72


The following is a GGA-PBE calculation of crystalline Pm2ZnCu5 at its relaxed geometry, from the Alexandria database.

Properties
formation energy = -18 kJ/mol of atoms
raw total energy = -4.093 eV/atom
relative energy among the computed polymorphs = 0 kJ/mol of formula units
DOS(E_F) = 0.511 states/eV/atom

Cell lengths 4.2028, 7.9754, 8.9263 Å; angles 90.00, 90.00, 105.28 degrees
With the nearest neighbours (Å) after each atom.
Element x y z (fractional)
Cu1 0.8218 0.6437 0.3871  6 Cu 2.44-2.71
Cu2 0.6558 0.3116 0.0204  4 Cu 2.44-2.68, 1 Zn 2.52
Cu3 0.1782 0.3563 0.8871  6 Cu 2.44-2.71
Cu4 0.6558 0.3116 0.4796  4 Cu 2.44-2.68, 1 Zn 2.52
Cu5 0.4001 0.8002 0.2500  1 Zn 2.46, 6 Cu 2.56-2.71
Cu6 0.3442 0.6884 0.9796  4 Cu 2.44-2.68, 1 Zn 2.52
Cu7 0.5999 0.1998 0.7500  1 Zn 2.46, 6 Cu 2.56-2.71
Cu8 0.8218 0.6437 0.1129  6 Cu 2.44-2.71
Cu9 0.3442 0.6884 0.5204  4 Cu 2.44-2.68, 1 Zn 2.52
Cu10 0.1782 0.3563 0.6129  6 Cu 2.44-2.71
Pm1 0.0000 0.0000 0.0000  6 Cu 2.92-3.19, 4 Zn 3.20
Pm2 0.7906 0.5812 0.7500  13 Cu 2.93-3.27, 2 Zn 3.11
Pm3 0.0000 0.0000 0.5000  6 Cu 2.92-3.19, 4 Zn 3.20
Pm4 0.2094 0.4188 0.2500  13 Cu 2.93-3.27, 2 Zn 3.11
Zn1 0.4398 0.8795 0.7500  3 Cu 2.46-2.52
Zn2 0.5602 0.1205 0.2500  3 Cu 2.46-2.52


The following is a GGA-PBE calculation of crystalline MnCd2Re at its relaxed geometry, from the Alexandria database.

Properties
formation energy = 62 kJ/mol of atoms
raw total energy = -5.216 eV/atom
relative energy among the computed polymorphs = 156 kJ/mol of formula units
DOS(E_F) = 1.105 states/eV/atom

Cell lengths 4.9293, 4.9293, 4.9293 Å; angles 130.12, 130.12, 73.22 degrees
With the nearest neighbours (Å) after each atom.
Element x y z (fractional)
Cd1 0.0000 0.0000 0.0000  4 Re 2.87, 4 Cd 2.87, 4 Mn 2.94
Cd2 0.7500 0.2500 0.5000  4 Cd 2.87, 4 Mn 2.87, 4 Re 2.94
Re1 0.2500 0.7500 0.5000  8 Cd 2.87-2.94, 4 Mn 2.87
Mn1 0.5000 0.5000 0.0000  8 Cd 2.87-2.94, 4 Re 2.87


The following is a GGA-PBE calculation of crystalline Rb2PrO3 at its relaxed geometry, from the Alexandria database.

Properties
raw total energy = -5.440 eV/atom
DOS(E_F) = 1.157 states/eV/atom
formation energy without anion corrections = -1.8418 eV/atom

Cell lengths 6.8395, 6.8395, 6.5749 Å; angles 90.00, 90.00, 114.20 degrees
With the nearest neighbours (Å) after each atom.
Element x y z (fractional)
Rb1 0.1984 0.5274 0.7774  4 O 2.84-3.05
Rb2 0.4726 0.8016 0.2774  4 O 2.84-3.05
Rb3 0.5274 0.1984 0.7774  4 O 2.84-3.05
Rb4 0.8016 0.4726 0.2774  4 O 2.84-3.05
Pr1 0.8968 0.8968 0.7394  5 O 2.22-2.37
Pr2 0.1032 0.1032 0.2394  5 O 2.22-2.37
O1 0.9033 0.1629 0.5088  2 Pr 2.36-2.37
O2 0.8371 0.0967 0.0088  2 Pr 2.36-2.37
O3 0.0967 0.8371 0.0088  2 Pr 2.36-2.37
O4 0.1629 0.9033 0.5088  2 Pr 2.36-2.37
O5 0.6150 0.6150 0.6282  1 Pr 2.22
O6 0.3850 0.3850 0.1282  1 Pr 2.22


The following is a GGA-PBE calculation of crystalline YZnH at its relaxed geometry, from the Alexandria database.

Properties
raw total energy = -4.153 eV/atom
DOS(E_F) = 0.420 states/eV/atom

Cell lengths 5.0178, 7.6891, 5.0176 Å; angles 90.00, 90.00, 90.00 degrees
With the nearest neighbours (Å) after each atom.
Element x y z (fractional)
Zn1 0.9999 0.4199 0.7500  4 Zn 2.79, 1 Y 3.13
Zn2 0.4999 0.5801 0.7500  4 Zn 2.79, 1 Y 3.13
Zn3 0.5001 0.4199 0.2500  4 Zn 2.79, 1 Y 3.13
Zn4 0.0001 0.5801 0.2500  4 Zn 2.79, 1 Y 3.13
Y1 0.5000 0.8269 0.2500  4 H 2.22
Y2 0.0000 0.8269 0.7500  4 H 2.22
Y3 0.0000 0.1731 0.2500  4 H 2.22
Y4 0.5000 0.1731 0.7500  4 H 2.22
H1 0.2500 0.0000 0.0000  4 Y 2.22
H2 0.7500 0.0000 0.5000  4 Y 2.22
H3 0.2500 0.0000 0.5000  4 Y 2.22
H4 0.7500 0.0000 0.0000  4 Y 2.22


The following is a GGA-PBE calculation of crystalline BaAl7Cu12 at its relaxed geometry, from the Alexandria database.

Properties
formation energy = -2 kJ/mol of atoms
raw total energy = -3.890 eV/atom
DOS(E_F) = 0.446 states/eV/atom

Cell lengths 6.5741, 7.6146, 7.6146 Å; angles 112.07, 106.73, 106.73 degrees
With the nearest neighbours (Å) after each atom.
Element x y z (fractional)
Al1 0.2056 0.6491 0.0000  5 Cu 2.45-2.62
Al2 0.4435 0.6491 0.6491  5 Cu 2.45-2.62
Al3 0.2056 0.0000 0.6491  5 Cu 2.45-2.62
Al4 0.7944 0.0000 0.3509  5 Cu 2.45-2.62
Al5 0.5000 0.0000 0.0000  6 Al 2.81, 6 Cu 2.89
Al6 0.7944 0.3509 0.0000  5 Cu 2.45-2.62
Al7 0.5565 0.3509 0.3509  5 Cu 2.45-2.62
Cu1 0.6071 0.6573 0.0000  3 Cu 2.40-2.58, 3 Al 2.55-2.62
Cu2 0.3929 0.0000 0.3427  3 Cu 2.40-2.58, 3 Al 2.55-2.62
Cu3 0.0501 0.6573 0.6573  3 Cu 2.40-2.58, 3 Al 2.55-2.62
Cu4 0.0000 0.2754 0.7246  2 Al 2.45, 4 Cu 2.53-2.58
Cu5 0.2754 0.2754 0.5509  2 Al 2.45, 4 Cu 2.53-2.58
Cu6 0.3929 0.3427 0.0000  3 Cu 2.40-2.58, 3 Al 2.55-2.62
Cu7 0.7246 0.7246 0.4491  2 Al 2.45, 4 Cu 2.53-2.58
Cu8 0.0000 0.7246 0.2754  2 Al 2.45, 4 Cu 2.53-2.58
Cu9 0.7246 0.4491 0.7246  2 Al 2.45, 4 Cu 2.53-2.58
Cu10 0.2754 0.5509 0.2754  2 Al 2.45, 4 Cu 2.53-2.58
Cu11 0.6071 0.0000 0.6573  3 Cu 2.40-2.58, 3 Al 2.55-2.62
Cu12 0.9499 0.3427 0.3427  3 Cu 2.40-2.58, 3 Al 2.55-2.62
Ba1 0.0000 0.0000 0.0000  6 Cu 3.10, 8 Al 3.29-3.32


The following is a GGA-PBE calculation of crystalline TmBe2H6 at its relaxed geometry, from the Alexandria database.

Properties
raw total energy = -2.710 eV/atom
DOS(E_F) = 0.370 states/eV/atom

Cell lengths 4.7933, 4.7935, 4.7933 Å; angles 60.00, 60.00, 60.00 degrees
With the nearest neighbours (Å) after each atom.
Element x y z (fractional)
H1 0.7068 0.7068 0.2932  4 H 1.98, 1 Tm 1.99
H2 0.2932 0.7068 0.2932  4 H 1.98, 1 Tm 1.99
H3 0.7068 0.2932 0.7068  4 H 1.98, 1 Tm 1.99
H4 0.7068 0.2932 0.2932  4 H 1.98, 1 Tm 1.99
H5 0.2932 0.2932 0.7068  4 H 1.98, 1 Tm 1.99
H6 0.2932 0.7068 0.7068  4 H 1.98, 1 Tm 1.99
Be1 0.7500 0.7500 0.7500  12 H 2.41
Be2 0.2500 0.2500 0.2500  12 H 2.41
Tm1 0.0000 0.0000 0.0000  6 H 1.99


The following is a GGA-PBE calculation of crystalline Cr2Ge2Pb at its relaxed geometry, from the Alexandria database.

Properties
formation energy = 26 kJ/mol of atoms
raw total energy = -6.169 eV/atom
DOS(E_F) = 0.524 states/eV/atom

Cell lengths 4.3514, 4.3514, 5.9175 Å; angles 68.43, 68.43, 90.00 degrees
With the nearest neighbours (Å) after each atom.
Element x y z (fractional)
Cr1 0.7500 0.2500 0.5000  4 Ge 2.50
Cr2 0.2500 0.7500 0.5000  4 Ge 2.50
Ge1 0.3720 0.3720 0.2559  4 Cr 2.50, 1 Ge 2.59
Ge2 0.6280 0.6280 0.7441  4 Cr 2.50, 1 Ge 2.59
Pb1 0.0000 0.0000 0.0000  8 Cr 3.33, 8 Ge 3.34


The following is a GGA-PBE calculation of crystalline SmFeSiC at its relaxed geometry, from the Alexandria database.

Properties
raw total energy = -7.299 eV/atom
DOS(E_F) = 0.677 states/eV/atom
formation energy without anion corrections = -0.3414 eV/atom

Cell lengths 3.7258, 3.7258, 8.8290 Å; angles 90.00, 90.00, 90.00 degrees
With the nearest neighbours (Å) after each atom.
Element x y z (fractional)
Fe1 0.0000 0.0000 0.5000  4 Si 2.35
Fe2 0.5000 0.5000 0.5000  4 Si 2.35
Si1 0.5000 0.0000 0.6620  1 C 1.82
Si2 0.0000 0.5000 0.3380  1 C 1.82
C1 0.5000 0.0000 0.8677  1 Si 1.82
C2 0.0000 0.5000 0.1323  1 Si 1.82
Sm1 0.0000 0.5000 0.8520  5 C 2.48-2.64
Sm2 0.5000 0.0000 0.1480  5 C 2.48-2.64


The following is a GGA-PBE calculation of crystalline CaDyHo2Sb4 at its relaxed geometry, from the Alexandria database.

Properties
raw total energy = -5.058 eV/atom
DOS(E_F) = 0.416 states/eV/atom
formation energy without anion corrections = -1.0271 eV/atom

Cell lengths 4.3763, 7.6612, 7.6576 Å; angles 70.92, 90.00, 90.00 degrees
With the nearest neighbours (Å) after each atom.
Element x y z (fractional)
Sb1 0.0000 0.2425 0.2567  3 Ho 3.07-3.11, 1 Dy 3.13, 2 Ca 3.16
Sb2 0.5000 0.2463 0.7478  3 Ho 3.08-3.11, 2 Dy 3.12, 1 Ca 3.16
Sb3 0.0000 0.7575 0.7433  3 Ho 3.07-3.11, 1 Dy 3.13, 2 Ca 3.16
Sb4 0.5000 0.7537 0.2522  3 Ho 3.08-3.11, 2 Dy 3.12, 1 Ca 3.16
Ca1 0.5000 0.5000 0.0000  6 Sb 3.16
Dy1 0.0000 0.5000 0.5000  6 Sb 3.12-3.13
Ho1 0.5000 0.0000 0.5000  6 Sb 3.07-3.08
Ho2 0.0000 0.0000 0.0000  6 Sb 3.11


The following is a GGA-PBE calculation of crystalline Pm6Rh2SCl3 at its relaxed geometry, from the Alexandria database.

Properties
raw total energy = -5.729 eV/atom
DOS(E_F) = 0.506 states/eV/atom
formation energy without anion corrections = -1.3231 eV/atom

Cell lengths 7.1444, 7.1444, 7.5953 Å; angles 98.95, 98.95, 119.94 degrees
With the nearest neighbours (Å) after each atom.
Element x y z (fractional)
Pm1 0.5823 0.9290 0.7895  2 Rh 2.78, 1 S 2.91
Pm2 0.4177 0.0710 0.2105  2 Rh 2.78, 1 S 2.91
Pm3 0.0710 0.4177 0.2105  2 Rh 2.78, 1 S 2.91
Pm4 0.2792 0.2792 0.7928  2 Rh 2.78, 1 S 2.90, 1 Cl 3.10
Pm5 0.9290 0.5823 0.7895  2 Rh 2.78, 1 S 2.91
Pm6 0.7208 0.7208 0.2072  2 Rh 2.78, 1 S 2.90, 1 Cl 3.10
Cl1 0.8430 0.1570 0.5000  6 Pm 3.15-3.21
Cl2 0.5000 0.5000 0.5000  6 Pm 3.10-3.21
Cl3 0.1570 0.8430 0.5000  6 Pm 3.15-3.21
Rh1 0.6681 0.3319 0.0000  6 Pm 2.78
Rh2 0.3319 0.6681 0.0000  6 Pm 2.78
S1 0.0000 0.0000 0.0000  6 Pm 2.90-2.91